This record from Alexandria describes a geometry-optimized AcDy5 structure. The functional is PBE.

Lattice parameters (Å, degrees): 5.104 6.257 7.233 106.49 90.00 114.07
Sites, in units of the cell vectors:
Dy 0.639 0.278 0.895
Dy 0.306 0.611 0.222
Dy 0.635 0.269 0.382
Dy 0.972 0.944 0.550
Dy 0.976 0.953 0.062
Ac 0.306 0.611 0.722

Output
Symmetry   No. 12
Crystal system   monoclinic
Total DFT energy (no corrections)   -4.47 eV/atom
ΔE_f   0.05 eV/atom
Distance to the lowest polymorph of the same formula   0 meV per atom
DOS at the Fermi energy   1.416 states/eV/atom